# 1
The following is a DFT calculation (PBE) of a geometry-optimized Tb8CePm2 structure.

Values from the calculation:
Its density of states at the Fermi level is 21.99 states/eV/cell. The value obtained for the calculated formation energy is 0.18 eV/atom. The total energy comes out at -4.588 eV per atom. The value obtained for the offset from the most stable computed form is 146 meV per atom. As for the symmetry: C2/m (12).

Cell and atoms, written as extended XYZ:
```
11
Lattice="9.556 -3.484 0.000 9.556 3.484 0.000 -0.302 0.000 5.610" Properties=species:S:1:pos:R:3 pbc="T T T"
Tb 0.808 0.000 1.329
Tb 6.991 1.845 1.496
Tb 5.782 0.000 4.303
Tb 11.818 1.845 4.113
Tb 6.991 -1.845 1.496
Tb 13.027 0.000 1.307
Tb 11.818 -1.845 4.113
Tb 18.001 0.000 4.280
Ce 9.556 0.000 0.000
Pm 4.065 0.000 1.411
Pm 14.744 0.000 4.199
```

# 2
The following is a DFT calculation (PBE) of a geometry-optimized Ca2BiPbO6 structure.

Values from the calculation:
Its density of states at the Fermi level is 2.40 states/eV/cell. The total energy comes out at -5.930 eV per atom. As for the symmetry: R3 (146). The value obtained for the raw formation energy is -1.795 eV/atom.

Cell and atoms, written as extended XYZ:
```
10
Lattice="2.932 1.693 5.083 -2.932 1.693 5.083 0.000 -3.386 5.083" Properties=species:S:1:pos:R:3 pbc="T T T"
Ca 0.000 0.000 0.000
Ca 0.000 0.000 7.627
Bi 0.000 0.000 4.323
Pb 0.000 0.000 11.935
O -0.996 -1.395 5.855
O -2.226 -0.130 8.391
O -0.710 1.560 5.855
O 1.225 -1.863 8.391
O 1.706 -0.165 5.855
O 1.001 1.993 8.391
```

# 3
The following is a DFT calculation (PBE) of a geometry-optimized TmNi9Sb2 structure.

Values from the calculation:
Its density of states at the Fermi level is 13.37 states/eV/cell. The total energy comes out at -5.572 eV per atom. As for the symmetry: R-3m (166). The value obtained for the raw formation energy is -0.176 eV/atom.

Cell and atoms, written as extended XYZ:
```
12
Lattice="2.436 1.406 8.120 -2.436 1.406 8.120 0.000 -2.813 8.120" Properties=species:S:1:pos:R:3 pbc="T T T"
Tm 0.000 0.000 0.000
Ni -1.224 -0.706 10.127
Ni 0.000 0.000 8.121
Ni 0.000 -1.413 14.232
Ni -1.224 0.706 14.232
Ni 0.000 0.000 12.180
Ni 1.224 -0.706 10.127
Ni 0.000 1.413 10.127
Ni 0.000 0.000 16.238
Ni 1.224 0.706 14.232
Sb 0.000 0.000 3.193
Sb 0.000 0.000 21.167
```

# 4
The following is a DFT calculation (PBE) of a geometry-optimized Hf2NbC2 structure.

Values from the calculation:
Its density of states at the Fermi level is 5.25 states/eV/cell. The value obtained for the calculated formation energy is -0.70 eV/atom. The total energy comes out at -10.385 eV per atom. As for the symmetry: C2/c (15).

Cell and atoms, written as extended XYZ:
```
10
Lattice="2.791 -4.915 0.000 2.791 4.915 0.000 -1.746 0.000 5.295" Properties=species:S:1:pos:R:3 pbc="T T T"
Hf 1.481 4.182 3.971
Hf 2.354 2.479 1.324
Hf 1.481 -2.479 3.971
Hf 2.354 -4.182 1.324
Nb 1.481 0.605 3.971
Nb 2.354 -0.605 1.324
C -0.327 0.826 5.289
C 0.546 -0.826 2.641
C 3.290 0.826 2.654
C 4.163 -0.826 0.006
```

# 5
The following is a DFT calculation (PBE) of a geometry-optimized MgCd3Pd structure.

Values from the calculation:
Its density of states at the Fermi level is 1.86 states/eV/cell. The value obtained for the calculated formation energy is -0.08 eV/atom. The total energy comes out at -1.983 eV per atom. The value obtained for the offset from the most stable computed form is 78 meV per atom. As for the symmetry: Amm2 (38).

Cell and atoms, written as extended XYZ:
```
5
Lattice="3.047 0.000 0.000 0.000 2.692 7.010 0.000 -2.692 7.010" Properties=species:S:1:pos:R:3 pbc="T T T"
Mg 0.000 0.000 0.000
Cd 0.000 0.000 4.888
Cd 1.523 -1.340 9.579
Cd 1.523 1.340 9.579
Pd 1.523 0.000 7.151
```

# 6
The following is a DFT calculation (PBE) of a geometry-optimized SrSe3O structure.

Values from the calculation:
Its density of states at the Fermi level is 2.05 states/eV/cell. The total energy comes out at -3.946 eV per atom. The value obtained for the offset from the most stable computed form is 0 meV per atom. As for the symmetry: Pm-3m (221). The value obtained for the raw formation energy is -0.528 eV/atom.

Cell and atoms, written as extended XYZ:
```
5
Lattice="4.687 0.000 0.000 0.000 4.687 0.000 0.000 0.000 4.687" Properties=species:S:1:pos:R:3 pbc="T T T"
Sr 0.000 0.000 0.000
Se 0.000 2.343 2.343
Se 2.343 0.000 2.343
Se 2.343 2.343 0.000
O 2.343 2.343 2.343
```

# 7
The following is a DFT calculation (PBE) of a geometry-optimized HgRhO structure.

Values from the calculation:
Its density of states at the Fermi level is 6.89 states/eV/cell. The total energy comes out at -4.293 eV per atom. The value obtained for the offset from the most stable computed form is 150 meV per atom. As for the symmetry: Pnma (62). The value obtained for the raw formation energy is -0.089 eV/atom.

Cell and atoms, written as extended XYZ:
```
12
Lattice="11.269 0.000 0.000 0.000 2.914 0.000 0.000 0.000 6.463" Properties=species:S:1:pos:R:3 pbc="T T T"
Hg 2.546 0.729 0.149
Hg 3.089 2.186 3.380
Hg 8.180 0.729 3.083
Hg 8.723 2.186 6.314
Rh 0.921 0.729 2.329
Rh 4.713 2.186 5.560
Rh 6.555 0.729 0.902
Rh 10.348 2.186 4.134
O 0.355 0.729 4.573
O 5.279 2.186 1.342
O 5.990 0.729 5.121
O 10.914 2.186 1.890
```

# 8
The following is a DFT calculation (PBE) of a geometry-optimized DyHoAg structure.

Values from the calculation:
Its density of states at the Fermi level is 3.65 states/eV/cell. The value obtained for the calculated formation energy is -0.18 eV/atom. The total energy comes out at -4.187 eV per atom. The value obtained for the offset from the most stable computed form is 25 meV per atom. As for the symmetry: I4mm (107).

Cell and atoms, written as extended XYZ:
```
3
Lattice="-1.791 1.791 6.248 1.791 -1.791 6.248 1.791 1.791 -6.248" Properties=species:S:1:pos:R:3 pbc="T T T"
Dy 0.000 0.000 0.000
Ho 0.000 0.000 3.731
Ag 0.000 0.000 8.133
```

# 9
The following is a DFT calculation (PBE) of a geometry-optimized PaBiPt structure.

Values from the calculation:
The value obtained for the calculated formation energy is -0.60 eV/atom. The total energy comes out at -7.077 eV per atom. As for the symmetry: P3m1 (156).

Cell and atoms, written as extended XYZ:
```
3
Lattice="4.441 0.000 0.000 -2.220 3.846 0.000 0.000 0.000 4.511" Properties=species:S:1:pos:R:3 pbc="T T T"
Pa 0.000 0.000 0.000
Bi 2.220 1.282 2.483
Pt 0.000 2.564 1.175
```

# 10
The following is a DFT calculation (PBE) of a geometry-optimized ScPb2F6 structure.

Values from the calculation:
Its density of states at the Fermi level is 3.01 states/eV/cell. The total energy comes out at -5.547 eV per atom. As for the symmetry: P4_2/mnm (136). The value obtained for the raw formation energy is -2.772 eV/atom.

Cell and atoms, written as extended XYZ:
```
18
Lattice="5.678 0.000 0.000 0.000 5.678 0.000 0.000 0.000 11.027" Properties=species:S:1:pos:R:3 pbc="T T T"
Sc 0.000 0.000 0.000
Sc 2.839 2.839 5.514
Pb 0.000 0.000 3.903
Pb 0.000 0.000 7.124
Pb 2.839 2.839 1.611
Pb 2.839 2.839 9.416
F 1.046 1.046 1.449
F 1.046 1.046 9.578
F 1.419 1.419 5.514
F 1.420 4.257 0.000
F 1.793 3.885 4.065
F 1.793 3.885 6.962
F 3.885 1.793 4.065
F 3.885 1.793 6.962
F 4.257 1.420 0.000
F 4.259 4.259 5.514
F 4.632 4.632 1.449
F 4.632 4.632 9.578
```